DFT (PBE-GGA) results for a relaxed structure of CrB2Mo2.

Lattice parameters (Å, degrees): 5.841 5.841 3.124 90.00 90.00 90.00
Space group P4/mbm (No. 127)
Asymmetric unit:
Cr (0.000, 0.000, 0.000) [2 per cell]
B (0.114, 0.386, 0.000) [4 per cell]
Mo (0.177, 0.677, 0.500) [4 per cell]

formation enthalpy at 0 K	-2.3	eV/f.u.
total magnetization	0.0	μB per cell

=====

DFT (PBE-GGA) results for a relaxed structure of CrB3Mo.

Lattice parameters (Å, degrees): 3.118 18.480 3.015 90.00 90.00 90.00
Space group Cmcm (No. 63)
Asymmetric unit:
Cr (0.000, 0.203, 0.250) [4 per cell]
B (0.000, 0.322, 0.250) [4 per cell]
B (0.000, 0.376, 0.750) [4 per cell]
B (0.000, 0.476, 0.750) [4 per cell]
Mo (0.000, 0.074, 0.750) [4 per cell]

formation enthalpy at 0 K	-2.0	eV/f.u.
total magnetization	1.2	μB per cell
energy above the most stable polymorph in this dataset	0	meV per atom

=====

| no. | density of states at the Fermi level (states/eV per cell) |
| --- | --- |
| 1 | 6.0 |
| 2 | 11.9 |